No. 1
First-principles (meta-GGA SCAN) data for a PBEsol-optimized structure of Si2HO, as listed in the Alexandria database.

Cell: 3.8675 3.8675 3.8675 Å, 60.00 60.00 60.00°
Closest atoms and distances in Å follow each position.
Element x y z (fractional)
O 0.5000 0.5000 0.5000  8 Si 2.37
Si 0.2500 0.2500 0.2500  4 H 2.37, 4 O 2.37
Si 0.7500 0.7500 0.7500  4 O 2.37, 4 H 2.37
H 0.0000 0.0000 0.0000  8 Si 2.37

Summary:
- M_tot: 0.00 μB per formula unit
- Uncorrected energy: -6.7023 eV/atom
- Theoretical density: 2971 kg/m3


No. 2
First-principles (meta-GGA SCAN) data for a PBEsol-optimized structure of Si2H2O3, as listed in the Alexandria database.

Cell: 7.3160 7.3160 7.3160 Å, 76.87 76.87 76.87°
Closest atoms and distances in Å follow each position.
Element x y z (fractional)
H 0.0897 0.9025 0.2342  1 Si 1.48
H 0.0975 0.7658 0.9103  1 Si 1.48
O 0.5596 0.1724 0.7445  2 Si 1.63
H 0.2259 0.2259 0.2259  1 Si 1.47
H 0.2342 0.0897 0.9025  1 Si 1.48
O 0.2475 0.5529 0.2729  2 Si 1.63
Si 0.7663 0.2398 0.6714  1 H 1.48, 3 O 1.63
H 0.7741 0.7741 0.7741  1 Si 1.47
O 0.7271 0.7525 0.4471  2 Si 1.63
O 0.8276 0.2555 0.4404  2 Si 1.63
Si 0.2337 0.7602 0.3286  1 H 1.48, 3 O 1.63
H 0.9025 0.2342 0.0897  1 Si 1.48
Si 0.3223 0.3223 0.3223  1 H 1.47, 3 O 1.63
H 0.7658 0.9103 0.0975  1 Si 1.48
O 0.7525 0.4471 0.7271  2 Si 1.63
O 0.7445 0.5596 0.1724  2 Si 1.63
Si 0.7602 0.3286 0.2337  1 H 1.48, 3 O 1.63
O 0.4404 0.8276 0.2555  2 Si 1.63
Si 0.6714 0.7663 0.2398  1 H 1.48, 3 O 1.63
Si 0.3286 0.2337 0.7602  1 H 1.48, 3 O 1.63
O 0.1724 0.7445 0.5596  2 Si 1.63
O 0.2555 0.4404 0.8276  2 Si 1.63
Si 0.6777 0.6777 0.6777  1 H 1.47, 3 O 1.63
O 0.5529 0.2729 0.2475  2 Si 1.63
O 0.4471 0.7271 0.7525  2 Si 1.63
Si 0.2398 0.6714 0.7663  1 H 1.48, 3 O 1.63
H 0.9103 0.0975 0.7658  1 Si 1.48
O 0.2729 0.2475 0.5529  2 Si 1.63

Summary:
- M_tot: 0.00 μB per formula unit
- Uncorrected energy: -8.4512 eV/atom
- Theoretical density: 1932 kg/m3


No. 3
First-principles (meta-GGA SCAN) data for a PBEsol-optimized structure of Si3HO, as listed in the Alexandria database.

Cell: 4.1418 4.1418 4.1418 Å, 90.00 90.00 90.00°
Closest atoms and distances in Å follow each position.
Element x y z (fractional)
H 0.5000 0.5000 0.5000  12 Si 2.93
Si 0.0000 0.0000 0.5000  2 O 2.07
O 0.0000 0.0000 0.0000  6 Si 2.07
Si 0.0000 0.5000 0.0000  2 O 2.07
Si 0.5000 0.0000 0.0000  2 O 2.07

Summary:
- M_tot: 0.03 μB per formula unit
- Uncorrected energy: -6.9233 eV/atom
- Theoretical density: 2367 kg/m3


No. 4
First-principles (meta-GGA SCAN) data for a PBEsol-optimized structure of SiH2O, as listed in the Alexandria database.

Cell: 3.0091 3.0091 4.9699 Å, 73.91 73.91 67.60°
Closest atoms and distances in Å follow each position.
Element x y z (fractional)
H 0.6082 0.6082 0.7971  3 Si 1.83
O 0.4012 0.4012 0.3831  1 H 0.99
Si 0.2640 0.2640 0.7411  1 O 1.68, 3 H 1.83
H 0.2556 0.2556 0.2887  1 O 0.99

Summary:
- M_tot: 0.00 μB per formula unit
- Uncorrected energy: -6.1870 eV/atom
- Theoretical density: 1952 kg/m3


Question: uncorrected energy of number 1 (Si2HO)?
Answer: -6.7023 eV/atom


Question: Number 1 is which compound?
Answer: Si2HO


Question: Look up the uncorrected energy of the first one.
Answer: -6.7023 eV/atom


Question: M_tot of number 2 (Si2H2O3)?
Answer: 0.00 μB per formula unit